20
Lattice="13.470 0.000 0.000 0.000 6.224 0.000 0.000 0.000 6.280" Properties=species:S:1:pos:R:3 comment="SmAgSb3 | the Alexandria database | GGA-PBE | optimized geometry" formation_energy_uncorrected_ev_per_atom=-0.4281 e_tot_ev_per_cell=-88.31 magmom_total_mub_per_cell=0.000 pbc="T T T"
Sm 2.454 0.002 1.570
Sm 2.454 3.110 4.710
Sm 11.016 6.222 4.710
Sm 11.016 3.114 1.570
Ag 5.153 1.556 0.000
Ag 5.153 1.556 3.140
Ag 8.317 4.668 0.000
Ag 8.317 4.668 3.140
Sb 0.028 1.556 0.000
Sb 0.028 1.556 3.140
Sb 3.308 3.182 1.570
Sb 3.308 6.154 4.710
Sb 5.730 4.325 4.710
Sb 5.730 5.011 1.570
Sb 7.740 1.213 4.710
Sb 7.740 1.899 1.570
Sb 10.163 0.070 1.570
Sb 10.163 3.042 4.710
Sb 13.442 4.668 0.000
Sb 13.442 4.668 3.140